{
  "formula": "Er2HfH",
  "functional": "PBE",
  "state": "relaxed",
  "vol_a3_per_fu": 84.54,
  "spacegroup": "R-3m, No. 166",
  "final_energy_ry_per_atom": -0.401,
  "polymorph_energy_kj_per_mol_fu": 11,
  "cell": [[-0.705, -3.214, 0.129], [0.310, -1.863, -2.697], [8.410, -3.477, 1.359]],
  "species": ["H", "Hf", "Er", "Er"],
  "fractional_positions": [[0.500, 0.500, 0.500], [0.000, 0.000, 0.000], [0.116, 0.116, 0.651], [0.884, 0.884, 0.349]]
}

{
  "formula": "Ba2CaW",
  "functional": "PBE",
  "state": "relaxed",
  "vol_a3_per_fu": 146.03,
  "spacegroup": "Fm-3m, No. 225",
  "formation_enthalpy_0k_ev_per_atom": 1.083,
  "final_energy_ry_per_atom": -0.266,
  "polymorph_energy_kj_per_mol_fu": 37,
  "cell": [[0.000, 4.180, 4.180], [4.180, 0.000, 4.180], [4.180, 4.180, 0.000]],
  "species": ["Ca", "Ba", "Ba", "W"],
  "fractional_positions": [[0.000, 0.000, 0.000], [0.250, 0.250, 0.250], [0.750, 0.750, 0.750], [0.500, 0.500, 0.500]]
}

{
  "formula": "ZnInCo",
  "functional": "PBE",
  "state": "relaxed",
  "vol_a3_per_fu": 49.79,
  "spacegroup": "P3m1, No. 156",
  "formation_enthalpy_0k_ev_per_atom": 0.297,
  "final_energy_ry_per_atom": -0.251,
  "polymorph_energy_kj_per_mol_fu": 87,
  "cell": [[-0.733, -2.362, 1.669], [2.807, 0.340, -0.952], [1.408, 3.339, 5.345]],
  "species": ["Co", "In", "Zn"],
  "fractional_positions": [[0.000, 0.000, 0.987], [0.667, 0.333, 0.309], [0.333, 0.667, 0.704]]
}

{
  "formula": "LaAlW2Cl",
  "functional": "PBE",
  "state": "relaxed",
  "vol_a3_per_fu": 153.36,
  "spacegroup": "P4/mmm, No. 123",
  "final_energy_ry_per_atom": -0.352,
  "raw_formation_energy_kj_per_mol_fu": 1204,
  "cell": [[4.971, 0.000, 0.000], [0.000, 6.206, 0.000], [0.000, 0.000, 4.971]],
  "species": ["Cl", "Al", "W", "W", "La"],
  "fractional_positions": [[0.500, 0.500, 0.500], [0.000, 0.500, 0.000], [0.000, 0.000, 0.500], [0.500, 0.000, 0.000], [0.000, 0.000, 0.000]]
}

{
  "formula": "KMnSi2",
  "functional": "PBE",
  "state": "relaxed",
  "vol_a3_per_fu": 83.65,
  "spacegroup": "Cm, No. 8",
  "final_energy_ry_per_atom": -0.382,
  "raw_formation_energy_kj_per_mol_fu": 34,
  "polymorph_energy_kj_per_mol_fu": 4,
  "cell": [[-1.538, 1.872, 3.466], [-1.651, -1.140, 3.723], [5.057, 0.308, 5.865]],
  "species": ["K", "Mn", "Si", "Si"],
  "fractional_positions": [[0.543, 0.543, 0.495], [0.319, 0.319, 0.002], [0.973, 0.973, 0.134], [0.665, 0.665, 0.869]]
}

{
  "formula": "MnSiB",
  "functional": "PBE",
  "state": "relaxed",
  "vol_a3_per_fu": 29.48,
  "spacegroup": "C2/m, No. 12",
  "final_energy_ry_per_atom": -0.533,
  "raw_formation_energy_kj_per_mol_fu": -46,
  "polymorph_energy_kj_per_mol_fu": 56,
  "cell": [[-2.292, -4.725, -1.819], [2.498, -0.584, -1.629], [3.950, -0.935, 6.390]],
  "species": ["Si", "Si", "Si", "Si", "Mn", "Mn", "Mn", "Mn", "B", "B", "B", "B"],
  "fractional_positions": [[0.107, 0.000, 0.892], [0.893, 0.000, 0.108], [0.107, 0.500, 0.392], [0.893, 0.500, 0.608], [0.721, 0.000, 0.346], [0.279, 0.000, 0.654], [0.721, 0.500, 0.846], [0.279, 0.500, 0.154], [0.376, 0.000, 0.384], [0.624, 0.000, 0.616], [0.376, 0.500, 0.884], [0.624, 0.500, 0.116]]
}